1.
VASP calculation (PBE-GGA) on a relaxed BaTbMg2In2 crystal.

a = 5.052 Å, b = 5.052 Å, c = 8.329 Å
α = 90.00°, β = 90.00°, γ = 120.00°
Fractional positions:
Ba 0.000 0.000 0.000
Tb 0.000 0.000 0.500
Mg 0.333 0.667 0.689
Mg 0.667 0.333 0.311
In 0.333 0.667 0.300
In 0.667 0.333 0.700

Calculated values
size of the total moment = 0.000 μB/atom
space-group type = P-3m1 (164)
formation energy from the elements = -0.34 eV per atom

2.
VASP calculation (PBE-GGA) on a relaxed BaMgIn2Tc crystal.

a = 6.292 Å, b = 6.292 Å, c = 5.274 Å
α = 90.00°, β = 90.00°, γ = 90.00°
Fractional positions:
Ba 0.000 0.000 0.000
Mg 0.500 0.500 0.500
In 0.000 0.500 0.000
In 0.500 0.000 0.000
Tc 0.000 0.000 0.500

Calculated values
size of the total moment = 0.362 μB/atom
space-group type = P4/mmm (123)
formation energy from the elements = 1.50 eV per atom

3.
VASP calculation (PBE-GGA) on a relaxed Ba2MgInTe5 crystal.

a = 10.807 Å, b = 10.807 Å, c = 13.664 Å
α = 90.00°, β = 90.00°, γ = 155.59°
Fractional positions:
Ba 0.119 0.881 0.500
Ba 0.125 0.875 0.121
Ba 0.875 0.125 0.621
Ba 0.881 0.119 0.000
Mg 0.229 0.771 0.838
Mg 0.771 0.229 0.338
In 0.433 0.567 0.261
In 0.567 0.433 0.761
Te 0.046 0.954 0.879
Te 0.287 0.713 0.475
Te 0.303 0.697 0.197
Te 0.360 0.640 0.813
Te 0.497 0.503 0.082
Te 0.503 0.497 0.582
Te 0.640 0.360 0.313
Te 0.697 0.303 0.697
Te 0.713 0.287 0.975
Te 0.954 0.046 0.379

Calculated values
formation energy without anion corrections = -1.0079 eV per atom
size of the total moment = 0.000 μB/atom
space-group type = Cmc2_1 (36)

4.
VASP calculation (PBE-GGA) on a relaxed Ba2MgTl4In3 crystal.

a = 5.035 Å, b = 5.035 Å, c = 12.662 Å
α = 90.00°, β = 90.00°, γ = 90.00°
Fractional positions:
Ba 0.000 0.500 0.249
Ba 0.500 0.000 0.751
Mg 0.000 0.000 0.500
Tl 0.000 0.000 0.000
Tl 0.000 0.500 0.632
Tl 0.500 0.000 0.368
Tl 0.500 0.500 0.000
In 0.000 0.500 0.862
In 0.500 0.000 0.138
In 0.500 0.500 0.500

Calculated values
size of the total moment = 0.000 μB/atom
space-group type = P-4m2 (115)
formation energy from the elements = -0.28 eV per atom

5.
VASP calculation (PBE-GGA) on a relaxed Ba2MgTl3In4 crystal.

a = 4.977 Å, b = 4.977 Å, c = 12.867 Å
α = 90.00°, β = 90.00°, γ = 90.00°
Fractional positions:
Ba 0.000 0.500 0.250
Ba 0.500 0.000 0.750
Mg 0.000 0.000 0.500
Tl 0.000 0.500 0.859
Tl 0.500 0.000 0.141
Tl 0.500 0.500 0.500
In 0.000 0.000 0.000
In 0.000 0.500 0.632
In 0.500 0.000 0.368
In 0.500 0.500 0.000

Calculated values
size of the total moment = 0.000 μB/atom
space-group type = P-4m2 (115)
formation energy from the elements = -0.28 eV per atom

6.
VASP calculation (PBE-GGA) on a relaxed BaMgTlIn2 crystal.

a = 7.266 Å, b = 7.266 Å, c = 7.266 Å
α = 140.32°, β = 140.32°, γ = 57.36°
Fractional positions:
Ba 0.000 0.000 0.000
Mg 0.750 0.250 0.500
Tl 0.250 0.750 0.500
In 0.387 0.387 0.000
In 0.613 0.613 0.000

Calculated values
size of the total moment = 0.000 μB/atom
space-group type = I-4m2 (119)
formation energy from the elements = -0.30 eV per atom

In Å³/cell, the V values for the records above are, in order, 184.1 208.8 659.5 321.0 318.7 155.0.